A plane-wave DFT calculation with GGA+U was carried out for a relaxed structure of K3MnW2O8.

Structure (extended XYZ):
```
14
Lattice="6.0178 0.0000 0.0000 -3.0089 5.2116 0.0000 0.0000 0.0000 7.7013" Properties=species:S:1:pos:R:3 pbc="T T T"
O -1.4895 4.3343 2.4828
O 1.5195 0.8773 5.2185
O 4.4984 0.8773 5.2185
O 3.0089 3.4571 5.2185
O 0.0000 3.4744 7.6486
O 0.0000 1.7545 2.4828
O 1.4894 4.3343 2.4828
O 3.0089 1.7372 0.0526
W 3.0089 1.7372 5.9407
W 0.0000 3.4744 1.7606
K 3.0089 1.7372 2.6003
K 0.0000 0.0000 0.0000
K 0.0000 3.4744 5.1010
Mn 0.0000 0.0000 3.8506
```

## Properties
Mass density: 4.59 g cm⁻³
E_tot: -0.2373 Ha/atom
N(E_F): 0.52 states/eV/atom